(1)
Compound: Li2BeAg
Source: Alexandria
Functional: PBE-GGA
Structure: optimized geometry

Geometry as POSCAR:
```
Li2BeAg
1.0
2.516 -4.474 0.000
2.516 4.474 0.000
-1.182 0.000 2.475
Li Be Ag
2 1 1
Cartesian
1.258 2.237 0.000
1.258 -2.237 0.000
-0.591 0.000 1.238
1.925 0.000 1.238
```

formation energy from the elements	95	meV/atom


(2)
Compound: TmInNiRu
Source: Alexandria
Functional: PBE-GGA
Structure: optimized geometry

Geometry as POSCAR:
```
TmInNiRu
1.0
0.000 3.264 3.264
3.264 0.000 3.264
3.264 3.264 0.000
Tm In Ni Ru
1 1 1 1
Cartesian
0.000 0.000 0.000
3.264 3.264 3.264
4.895 4.895 4.895
1.632 1.632 1.632
```

formation energy from the elements	-316	meV/atom
E above lowest polymorph	33	meV per atom


(3)
Compound: KLa3Dy2Te6
Source: Alexandria
Functional: PBE-GGA
Structure: optimized geometry

Geometry as POSCAR:
```
KLa3Dy2Te6
1.0
9.888 -2.257 0.000
9.888 2.257 0.000
-2.053 0.000 8.924
K La Dy Te
1 3 2 6
Cartesian
0.000 0.000 0.000
-1.026 0.000 4.462
6.364 0.000 1.562
11.359 0.000 7.362
5.209 0.000 5.863
12.513 0.000 3.061
2.171 0.000 5.141
3.205 0.000 0.877
8.205 0.000 6.610
9.517 0.000 2.314
14.518 0.000 8.047
15.551 0.000 3.783
```

ΔE_f (raw)	-138	kJ per mole of atoms


(4)
Compound: Pd3PbAu
Source: Alexandria
Functional: PBE-GGA
Structure: optimized geometry

Geometry as POSCAR:
```
Pd3PbAu
1.0
4.996 0.000 0.000
0.000 4.996 0.000
0.000 0.000 4.996
Pd Pb Au
3 1 1
Cartesian
0.000 0.000 2.498
0.000 2.498 0.000
2.498 0.000 0.000
2.498 2.498 2.498
0.000 0.000 0.000
```

formation energy from the elements	691	meV/atom
E above lowest polymorph	780	meV per atom


(5)
Compound: Pm2TlCd16
Source: Alexandria
Functional: PBE-GGA
Structure: optimized geometry

Geometry as POSCAR:
```
Pm2TlCd16
1.0
5.100 2.944 4.963
-5.100 2.944 4.963
0.000 -5.889 4.963
Pm Tl Cd
2 1 16
Cartesian
0.000 0.000 0.000
0.000 0.000 5.078
0.000 0.000 11.427
0.000 -2.533 2.697
-2.194 1.266 2.697
-2.628 -1.518 7.524
0.000 -2.857 7.234
-2.474 1.428 7.234
-1.576 -2.740 9.958
-3.160 0.005 9.958
2.194 1.266 2.697
0.000 0.000 8.442
1.576 -2.740 9.958
-1.585 2.734 9.958
2.628 -1.518 7.524
0.000 3.035 7.524
2.474 1.428 7.234
3.160 0.005 9.958
1.585 2.734 9.958
```

formation energy from the elements	-129	meV/atom


(6)
Compound: RbIO2
Source: Alexandria
Functional: PBE-GGA
Structure: optimized geometry

Geometry as POSCAR:
```
RbIO2
1.0
-2.732 2.732 6.496
2.732 -2.732 6.496
2.732 2.732 -6.496
Rb I O
2 2 4
Cartesian
0.000 0.000 0.000
0.000 2.732 3.248
2.732 0.000 3.248
0.000 0.000 6.496
1.366 -0.670 4.872
2.062 1.366 1.624
1.366 3.401 -1.624
0.670 1.366 8.120
```

ΔE_f (raw)	-43	kJ per mole of atoms
E above lowest polymorph	237	meV per atom